(a)
This record from Alexandria describes a relaxed CaZr crystal. The functional is GGA-PBE.

Summary:
- space group = P2_13, No. 198
- total moment (μB per formula unit) = 0.000

abc: 6.121 6.121 6.121
angles: 90.00 90.00 90.00
Fractional coordinates of all 8 atoms:
Ca (0.098, 0.598, 0.902)
Ca (0.402, 0.402, 0.402)
Ca (0.902, 0.098, 0.598)
Ca (0.598, 0.902, 0.098)
Zr (0.396, 0.896, 0.604)
Zr (0.104, 0.104, 0.104)
Zr (0.604, 0.396, 0.896)
Zr (0.896, 0.604, 0.396)

(b)
This record from Alexandria describes a relaxed CaZr crystal. The functional is GGA-PBE.

Summary:
- space group = P4/mmm, No. 123
- total moment (μB per formula unit) = 0.000

abc: 5.528 5.528 3.769
angles: 90.00 90.00 90.00
Fractional coordinates of all 4 atoms:
Ca (0.250, 0.750, 0.000)
Ca (0.750, 0.250, 0.000)
Zr (0.250, 0.250, 0.500)
Zr (0.750, 0.750, 0.500)

(c)
This record from Alexandria describes a relaxed CaZr crystal. The functional is GGA-PBE.

Summary:
- space group = R-3m, No. 166
- total moment (μB per formula unit) = 0.000

abc: 11.772 11.772 11.772
angles: 16.81 16.81 16.81
Fractional coordinates of all 4 atoms:
Ca (0.994, 0.994, 0.994)
Ca (0.756, 0.756, 0.756)
Zr (0.508, 0.508, 0.508)
Zr (0.242, 0.242, 0.242)

(d)
This record from Alexandria describes a relaxed CaZr crystal. The functional is GGA-PBE.

Summary:
- space group = Fddd, No. 70
- total moment (μB per formula unit) = 0.000

abc: 12.058 9.461 8.491
angles: 90.00 90.00 90.00
Fractional coordinates of all 32 atoms:
Ca (0.000, 0.175, 0.000)
Ca (0.000, 0.825, 0.000)
Ca (0.250, 0.575, 0.250)
Ca (0.250, 0.925, 0.250)
Ca (0.000, 0.675, 0.500)
Ca (0.000, 0.325, 0.500)
Ca (0.250, 0.075, 0.750)
Ca (0.250, 0.425, 0.750)
Ca (0.500, 0.175, 0.500)
Ca (0.500, 0.825, 0.500)
Ca (0.750, 0.575, 0.750)
Ca (0.750, 0.925, 0.750)
Ca (0.500, 0.675, 0.000)
Ca (0.500, 0.325, 0.000)
Ca (0.750, 0.075, 0.250)
Ca (0.750, 0.425, 0.250)
Zr (0.000, 0.000, 0.348)
Zr (0.000, 0.000, 0.652)
Zr (0.250, 0.750, 0.902)
Zr (0.250, 0.750, 0.598)
Zr (0.000, 0.500, 0.848)
Zr (0.000, 0.500, 0.152)
Zr (0.250, 0.250, 0.402)
Zr (0.250, 0.250, 0.098)
Zr (0.500, 0.000, 0.848)
Zr (0.500, 0.000, 0.152)
Zr (0.750, 0.750, 0.402)
Zr (0.750, 0.750, 0.098)
Zr (0.500, 0.500, 0.348)
Zr (0.500, 0.500, 0.652)
Zr (0.750, 0.250, 0.902)
Zr (0.750, 0.250, 0.598)

Which of them is most stable? Easy: (c).

(a)
This record from Alexandria describes a relaxed CaZr crystal. The functional is GGA-PBE.

Summary:
- space group = P6_3/mmc, No. 194
- total moment (μB per formula unit) = 0.773

abc: 5.588 5.588 6.069
angles: 90.00 90.00 120.00
Last column: magnetic moment on the atom in μB.
Fractional coordinates of all 4 atoms:
Ca (0.333, 0.667, 0.250)  0.06
Ca (0.667, 0.333, 0.750)  0.06
Zr (0.333, 0.667, 0.750)  0.43
Zr (0.667, 0.333, 0.250)  0.43

(b)
This record from Alexandria describes a relaxed CaZr crystal. The functional is GGA-PBE.

Summary:
- space group = P4_2/mnm, No. 136
- total moment (μB per formula unit) = 0.001

abc: 6.217 6.217 6.401
angles: 90.00 90.00 90.00
Fractional coordinates of all 8 atoms:
Ca (0.175, 0.825, 0.000)
Ca (0.675, 0.675, 0.500)
Ca (0.325, 0.325, 0.500)
Ca (0.825, 0.175, 0.000)
Zr (0.344, 0.344, 0.000)
Zr (0.844, 0.156, 0.500)
Zr (0.156, 0.844, 0.500)
Zr (0.656, 0.656, 0.000)

Which of them is most stable? Easy: (b).

(a)
This record from Alexandria describes a relaxed CaZr crystal. The functional is GGA-PBE.

Summary:
- space group = I4/m, No. 87
- total moment (μB per formula unit) = 0.000

abc: 12.514 12.514 3.170
angles: 90.00 90.00 90.00
Fractional coordinates of all 16 atoms:
Ca (0.379, 0.831, 0.000)
Ca (0.621, 0.169, 0.000)
Ca (0.169, 0.379, 0.000)
Ca (0.831, 0.621, 0.000)
Ca (0.879, 0.331, 0.500)
Ca (0.121, 0.669, 0.500)
Ca (0.669, 0.879, 0.500)
Ca (0.331, 0.121, 0.500)
Zr (0.432, 0.351, 0.000)
Zr (0.568, 0.649, 0.000)
Zr (0.649, 0.432, 0.000)
Zr (0.351, 0.568, 0.000)
Zr (0.932, 0.851, 0.500)
Zr (0.068, 0.149, 0.500)
Zr (0.149, 0.932, 0.500)
Zr (0.851, 0.068, 0.500)

(b)
This record from Alexandria describes a relaxed CaZr crystal. The functional is GGA-PBE.

Summary:
- space group = P4/nmm, No. 129
- total moment (μB per formula unit) = 0.000

abc: 3.971 3.971 9.017
angles: 90.00 90.00 90.00
Fractional coordinates of all 4 atoms:
Ca (0.250, 0.250, 0.333)
Ca (0.750, 0.750, 0.667)
Zr (0.250, 0.750, 0.000)
Zr (0.750, 0.250, 0.000)

(c)
This record from Alexandria describes a relaxed CaZr crystal. The functional is GGA-PBE.

Summary:
- space group = P4/m, No. 83
- total moment (μB per formula unit) = 0.000

abc: 10.192 10.192 5.241
angles: 90.00 90.00 90.00
Fractional coordinates of all 16 atoms:
Ca (0.919, 0.650, 0.500)
Ca (0.081, 0.350, 0.500)
Ca (0.350, 0.919, 0.500)
Ca (0.650, 0.081, 0.500)
Ca (0.865, 0.246, 0.000)
Ca (0.135, 0.754, 0.000)
Ca (0.754, 0.865, 0.000)
Ca (0.246, 0.135, 0.000)
Zr (0.688, 0.407, 0.500)
Zr (0.312, 0.593, 0.500)
Zr (0.593, 0.688, 0.500)
Zr (0.407, 0.312, 0.500)
Zr (0.713, 0.542, 0.000)
Zr (0.287, 0.458, 0.000)
Zr (0.458, 0.713, 0.000)
Zr (0.542, 0.287, 0.000)

Which of them is most stable? Easy: (c).

(a)
This record from Alexandria describes a relaxed CaZr crystal. The functional is GGA-PBE.

Summary:
- space group = Fm-3m, No. 225
- total moment (μB per formula unit) = 1.821

abc: 6.327 6.327 6.327
angles: 90.00 90.00 90.00
Last column: magnetic moment on the atom in μB.
Fractional coordinates of all 8 atoms:
Ca (0.000, 0.000, 0.000)  0.15
Ca (0.000, 0.500, 0.500)  0.15
Ca (0.500, 0.000, 0.500)  0.15
Ca (0.500, 0.500, 0.000)  0.15
Zr (0.500, 0.500, 0.500)  1.01
Zr (0.500, 0.000, 0.000)  1.01
Zr (0.000, 0.500, 0.000)  1.01
Zr (0.000, 0.000, 0.500)  1.01

(b)
This record from Alexandria describes a relaxed CaZr crystal. The functional is GGA-PBE.

Summary:
- space group = R-3m, No. 166
- total moment (μB per formula unit) = 0.010

abc: 5.173 5.173 15.434
angles: 90.00 90.00 120.00
Fractional coordinates of all 12 atoms:
Ca (0.000, 0.000, 0.115)
Ca (0.000, 0.000, 0.885)
Ca (0.333, 0.667, 0.448)
Ca (0.333, 0.667, 0.219)
Ca (0.667, 0.333, 0.781)
Ca (0.667, 0.333, 0.552)
Zr (0.000, 0.000, 0.344)
Zr (0.000, 0.000, 0.656)
Zr (0.333, 0.667, 0.677)
Zr (0.333, 0.667, 0.989)
Zr (0.667, 0.333, 0.011)
Zr (0.667, 0.333, 0.323)

(c)
This record from Alexandria describes a relaxed CaZr crystal. The functional is GGA-PBE.

Summary:
- space group = Pmmn, No. 59
- total moment (μB per formula unit) = 0.000

abc: 3.321 6.085 17.957
angles: 90.00 90.00 90.00
Fractional coordinates of all 12 atoms:
Ca (0.000, 0.743, 0.682)
Ca (0.500, 0.257, 0.818)
Ca (0.500, 0.257, 0.182)
Ca (0.000, 0.743, 0.318)
Ca (0.000, 0.338, 0.000)
Ca (0.500, 0.662, 0.500)
Zr (0.000, 0.766, 0.866)
Zr (0.500, 0.234, 0.634)
Zr (0.500, 0.234, 0.366)
Zr (0.000, 0.766, 0.134)
Zr (0.000, 0.169, 0.500)
Zr (0.500, 0.831, 0.000)

(d)
This record from Alexandria describes a relaxed CaZr crystal. The functional is GGA-PBE.

Summary:
- space group = P4/nmm, No. 129
- total moment (μB per formula unit) = 0.000

abc: 3.313 3.313 11.058
angles: 90.00 90.00 90.00
Fractional coordinates of all 4 atoms:
Ca (0.000, 0.500, 0.853)
Ca (0.500, 0.000, 0.147)
Zr (0.000, 0.500, 0.409)
Zr (0.500, 0.000, 0.591)

Which of them is most stable? Easy: (d).